# 1
Pm2NdSmY6 after structural relaxation. Source: Alexandria, functional PBE.

Values from the calculation:
Calculated total energy: -0.20804 hartree per atom
Spin magnetization: 0.00 μB per cell
Calculated volume: 335.3 Å³/f.u.
Symmetry: C2/c, No. 15

Cell and atoms, written as POSCAR:
```
Pm2NdSmY6
1.0
4.5689 -7.5331 0.0000
4.5689 7.5331 0.0000
-1.7515 0.0000 9.7424
Pm Nd Sm Y
4 2 2 12
direct
0.1897 0.2872 0.0438
0.2872 0.1897 0.5438
0.7128 0.8103 0.4562
0.8103 0.7128 0.9562
0.4047 0.5953 0.7500
0.5953 0.4047 0.2500
0.0179 0.9821 0.2500
0.9821 0.0179 0.7500
0.0243 0.5762 0.1833
0.1194 0.7422 0.5565
0.2578 0.8806 0.9435
0.2977 0.5055 0.3809
0.4238 0.9757 0.3167
0.4945 0.7023 0.1191
0.5055 0.2977 0.8809
0.5762 0.0243 0.6833
0.7023 0.4945 0.6191
0.7422 0.1194 0.0565
0.8806 0.2578 0.4435
0.9757 0.4238 0.8167
```

# 2
Sn2Hg2Se after structural relaxation. Source: Alexandria, functional PBE.

Values from the calculation:
Spin magnetization: 0.00 μB per cell
Uncorrected formation energy: 0.124 eV/atom
Calculated volume: 132.4 Å³/f.u.
Symmetry: P4/mbm, No. 127

Cell and atoms, written as POSCAR:
```
Sn2Hg2Se
1.0
7.9197 0.0000 0.0000
0.0000 7.9197 0.0000
0.0000 0.0000 4.2205
Sn Hg Se
4 4 2
direct
0.1749 0.3251 0.0000
0.3251 0.8251 0.0000
0.6749 0.1749 0.0000
0.8251 0.6749 0.0000
0.1341 0.6341 0.5000
0.3659 0.1341 0.5000
0.6341 0.8659 0.5000
0.8659 0.3659 0.5000
0.0000 0.0000 0.5000
0.5000 0.5000 0.5000
```

# 3
Ga2AgPb2 after structural relaxation. Source: Alexandria, functional PBE.

Values from the calculation:
Calculated total energy: -0.11266 hartree per atom
Spin magnetization: 0.00 μB per cell
Calculated volume: 130.1 Å³/f.u.
Symmetry: P4/mbm, No. 127

Cell and atoms, written as POSCAR:
```
Ga2AgPb2
1.0
8.0669 0.0000 0.0000
0.0000 8.0669 0.0000
0.0000 0.0000 3.9988
Ga Ag Pb
4 2 4
direct
0.1226 0.3774 0.0000
0.3774 0.8774 0.0000
0.6226 0.1226 0.0000
0.8774 0.6226 0.0000
0.0000 0.0000 0.5000
0.5000 0.5000 0.5000
0.1777 0.6777 0.5000
0.3223 0.1777 0.5000
0.6777 0.8223 0.5000
0.8223 0.3223 0.5000
```

# 4
NaAsI2N after structural relaxation. Source: Alexandria, functional PBE.

Values from the calculation:
Spin magnetization: 0.00 μB per cell
Uncorrected formation energy: 0.150 eV/atom
Calculated volume: 142.6 Å³/f.u.
Symmetry: P4/mmm, No. 123

Cell and atoms, written as POSCAR:
```
NaAsI2N
1.0
6.1980 0.0000 0.0000
0.0000 6.1980 0.0000
0.0000 0.0000 3.7117
Na As I N
1 1 2 1
direct
0.0000 0.0000 0.0000
0.5000 0.5000 0.5000
0.0000 0.5000 0.5000
0.5000 0.0000 0.5000
0.5000 0.5000 0.0000
```